## Rb2MnNbO5 (GGA+U)

Data for a relaxed Rb2MnNbO5 crystal.

As for the total magnetic moment: 0.444 μB per atom. As for the space group: No. 36. For the raw total energy, the calculation gives -61.03 eV/f.u.

Geometry as POSCAR:
```
Rb2MnNbO5
1.0
1.619 -7.888 0.000
1.619 7.888 0.000
0.000 0.000 12.805
Rb Mn Nb O
4 2 2 10
Cartesian
1.619 6.616 6.403 Rb
1.619 5.652 1.951 Rb
1.619 -5.652 8.354 Rb
1.619 -6.616 0.000 Rb
1.619 0.899 3.512 Mn
1.619 -0.899 9.915 Mn
1.619 4.461 11.110 Nb
1.619 -4.461 4.708 Nb
1.619 6.809 10.939 O
1.619 3.321 5.983 O
1.619 3.073 3.394 O
1.619 2.673 10.836 O
1.619 0.080 1.912 O
1.619 -0.080 8.314 O
1.619 -2.673 4.434 O
1.619 -3.073 9.797 O
1.619 -3.321 12.386 O
1.619 -6.809 4.537 O
```